4
Lattice="4.823 0.000 0.000 0.000 4.842 0.000 0.000 0.000 4.842" Properties=species:S:1:pos:R:3 comment="LaLu2Hg | Alexandria via LeMat-Bulk | PBE-GGA | relaxed" polymorph_energy_ev_per_atom=0.088 magnetic_moment_mub_per_fu=0.6 formation_enthalpy_0k_mev_per_atom=-135.8 total_energy_ev_per_cell=-14.8 vol_a3_per_atom=28.28 pbc="T T T"
Lu 0.000 0.000 2.421
Lu 0.000 2.421 0.000
Hg 2.412 2.421 2.421
La 2.412 0.000 0.000


4
Lattice="3.736 0.000 0.000 -0.001 3.736 0.000 0.000 0.000 7.230" Properties=species:S:1:pos:R:3 comment="ZrTlSe2 | Alexandria via LeMat-Bulk | PBE-GGA | relaxed" magnetic_moment_mub_per_fu=0.0 e_form_raw_ev_per_atom=-0.407 total_energy_ev_per_cell=-19.5 vol_a3_per_atom=25.23 pbc="T T T"
Se 0.000 0.000 6.683
Se 1.868 1.868 2.500
Tl 0.000 0.000 3.476
Zr 1.868 1.868 5.416


5
Lattice="4.669 0.000 0.000 0.000 5.044 0.000 0.000 0.000 4.669" Properties=species:S:1:pos:R:3 comment="SrInNiIr2 | Alexandria via LeMat-Bulk | PBE-GGA | relaxed" magnetic_moment_mub_per_fu=1.2 formation_enthalpy_0k_mev_per_atom=684.6 total_energy_ev_per_cell=-24.5 vol_a3_per_atom=21.99 pbc="T T T"
Sr 0.000 2.522 0.000
Ir 0.000 0.000 2.335
Ir 2.335 0.000 0.000
Ni 0.000 0.000 0.000
In 2.335 2.522 2.335


8
Lattice="-2.770 3.245 -0.276 -4.171 -3.112 5.275 5.038 4.573 3.213" Properties=species:S:1:pos:R:3 comment="Tb4Te2PbS | Alexandria via LeMat-Bulk | PBE-GGA | relaxed" magnetic_moment_mub_per_fu=0.0 e_form_raw_ev_per_atom=-1.280 total_energy_ev_per_cell=-42.9 vol_a3_per_atom=28.15 pbc="T T T"
Tb -1.297 1.877 1.977
Tb -0.606 2.829 6.236
Tb 2.785 2.714 3.962
Tb -1.918 -1.253 4.526
Te 1.134 3.909 1.469
Te 0.434 0.730 4.244
Pb 0.000 0.000 0.000
S -3.470 0.067 2.500


4
Lattice="4.051 0.000 0.000 0.000 4.456 0.000 -2.026 0.000 5.583" Properties=species:S:1:pos:R:3 comment="AcPmPtRh | Alexandria via LeMat-Bulk | PBE-GGA | relaxed" polymorph_energy_ev_per_atom=0.000 magnetic_moment_mub_per_fu=0.0 formation_enthalpy_0k_mev_per_atom=-920.4 total_energy_ev_per_cell=-25.9 vol_a3_per_atom=25.20 pbc="T T T"
Ac 0.000 0.000 1.596
Pm 2.026 2.228 4.078
Pt 2.026 2.228 0.938
Rh 0.000 0.000 4.555


4
Lattice="6.161 0.240 0.000 2.663 5.561 0.000 -4.412 -2.901 3.184" Properties=species:S:1:pos:R:3 comment="Tl2HgAu | Alexandria via LeMat-Bulk | PBE-GGA | relaxed" polymorph_energy_ev_per_atom=0.059 magnetic_moment_mub_per_fu=0.0 formation_enthalpy_0k_mev_per_atom=34.8 total_energy_ev_per_cell=-8.2 vol_a3_per_atom=26.77 pbc="T T T"
Tl 0.000 0.000 0.000
Tl 1.331 2.781 1.592
Au 4.412 2.901 0.000
Hg 3.081 0.120 1.592


10
Lattice="5.587 0.026 0.011 -0.040 8.495 0.296 2.764 4.552 4.555" Properties=species:S:1:pos:R:3 comment="Pr2SiSnPd6 | Alexandria via LeMat-Bulk | PBE-GGA | relaxed" magnetic_moment_mub_per_fu=0.0 e_form_raw_ev_per_atom=-0.690 total_energy_ev_per_cell=-57.0 vol_a3_per_atom=20.84 pbc="T T T"
Pr 5.559 4.603 2.404
Pr 2.752 8.469 2.458
Si 2.774 4.260 0.153
Sn 0.000 0.000 0.000
Pd 2.770 3.118 2.276
Pd 4.138 6.250 0.323
Pd 1.384 6.233 0.312
Pd 6.927 6.839 4.550
Pd 4.173 6.822 4.539
Pd 5.541 9.954 2.586


12
Lattice="-3.257 2.326 -0.733 -4.723 -5.232 4.382 4.526 4.814 6.454" Properties=species:S:1:pos:R:3 comment="NaPm2Tm3Se6 | Alexandria via LeMat-Bulk | PBE-GGA | relaxed" magnetic_moment_mub_per_fu=0.0 e_form_raw_ev_per_atom=-1.743 total_energy_ev_per_cell=-66.1 vol_a3_per_atom=24.59 pbc="T T T"
Na -1.628 1.163 -0.367
Pm -2.817 1.663 6.502
Pm -0.636 0.244 3.602
Tm -3.990 -1.453 1.824
Tm -0.508 4.250 4.448
Tm -2.946 -2.343 5.655
Se -2.457 -0.891 8.088
Se -3.502 -0.024 4.190
Se -0.996 2.799 2.015
Se 0.043 5.771 6.824
Se -3.497 -3.863 3.279
Se 0.048 1.931 5.913


4
Lattice="3.360 0.000 0.000 1.680 2.910 0.000 1.680 0.970 12.075" Properties=species:S:1:pos:R:3 comment="Sm2ErHf | Alexandria via LeMat-Bulk | PBE-GGA | relaxed" polymorph_energy_ev_per_atom=0.220 magnetic_moment_mub_per_fu=0.0 formation_enthalpy_0k_mev_per_atom=367.0 total_energy_ev_per_cell=-22.5 vol_a3_per_atom=29.52 pbc="T T T"
Hf 0.000 0.000 0.000
Sm 1.680 0.970 8.961
Sm 5.040 2.910 3.115
Er 3.360 1.940 6.038


4
Lattice="3.809 0.000 0.001 2.654 2.732 0.001 2.246 0.949 7.002" Properties=species:S:1:pos:R:3 comment="TlSiIr2 | Alexandria via LeMat-Bulk | PBE-GGA | relaxed" polymorph_energy_ev_per_atom=0.101 magnetic_moment_mub_per_fu=0.0 e_form_raw_ev_per_atom=-0.047 total_energy_ev_per_cell=-25.7 vol_a3_per_atom=18.21 pbc="T T T"
Ir 0.321 0.136 0.520
Ir 4.033 1.705 2.982
Si 2.177 0.920 1.751
Tl 6.531 2.761 5.253


18
Lattice="-2.209 0.835 -3.260 7.228 -3.191 -3.231 -5.875 -7.585 2.038" Properties=species:S:1:pos:R:3 comment="CeGe2Rh3 | Alexandria via LeMat-Bulk | PBE-GGA | relaxed" magnetic_moment_mub_per_fu=0.1 formation_enthalpy_0k_mev_per_atom=-798.5 total_energy_ev_per_cell=-126.0 vol_a3_per_atom=17.33 pbc="T T T"
Ce -2.137 -6.257 -0.155
Ce 1.280 -3.684 -4.298
Ce 0.000 0.000 0.000
Ge 1.631 -2.010 -1.621
Ge -2.487 -7.931 -2.833
Ge 4.332 -4.261 -4.028
Ge -5.188 -5.680 -0.426
Ge 1.221 -6.161 -2.406
Ge -2.077 -3.780 -2.047
Rh -1.410 -2.745 0.252
Rh 0.554 -7.195 -4.705
Rh 0.368 -4.172 -1.319
Rh -1.224 -5.768 -3.134
Rh -0.803 -1.696 -2.376
Rh -0.053 -8.245 -2.077
Rh -4.042 -3.375 -0.611
Rh 3.667 -2.110 -3.026
Rh -4.523 -7.830 -1.427


5
Lattice="-4.715 0.825 -2.093 -0.422 -4.954 -1.001 -2.207 -0.757 4.675" Properties=species:S:1:pos:R:3 comment="Tc2HgRhBr | Alexandria via LeMat-Bulk | PBE-GGA | relaxed" magnetic_moment_mub_per_fu=8.4 e_form_raw_ev_per_atom=2.040 total_energy_ev_per_cell=-19.9 vol_a3_per_atom=27.68 pbc="T T T"
Rh -0.211 -2.477 -0.501
Hg 0.000 0.000 0.000
Br -3.672 -2.443 0.790
Tc -1.104 -0.378 2.337
Tc -2.358 0.412 -1.046


9
Lattice="-0.621 2.013 5.104 -5.463 0.250 -0.763 -1.065 -10.745 4.109" Properties=species:S:1:pos:R:3 comment="Pm2DyHoTe5 | Alexandria via LeMat-Bulk | PBE-GGA | relaxed" magnetic_moment_mub_per_fu=0.5 e_form_raw_ev_per_atom=-0.775 total_energy_ev_per_cell=-41.4 vol_a3_per_atom=39.14 pbc="T T T"
Pm -3.405 -2.525 3.569
Pm -3.745 -5.957 4.881
Dy 0.000 0.000 0.000
Ho -0.533 -5.373 2.055
Te -3.264 -5.248 1.673
Te -0.843 -4.366 4.607
Te -0.804 -8.104 3.099
Te -0.262 -2.641 1.010
Te -3.042 1.132 2.170


4
Lattice="-0.399 1.582 -2.988 2.871 -2.806 -1.869 -3.332 -2.739 -1.006" Properties=species:S:1:pos:R:3 comment="TbInCo2 | Alexandria via LeMat-Bulk | PBE-GGA | relaxed" magnetic_moment_mub_per_fu=0.0 formation_enthalpy_0k_mev_per_atom=-52.7 total_energy_ev_per_cell=-21.8 vol_a3_per_atom=16.70 pbc="T T T"
Co -1.666 -1.370 -0.503
Co 1.436 -1.403 -0.935
Tb -0.199 0.791 -1.494
In -0.430 -1.982 -2.932


12
Lattice="-5.794 3.522 3.109 1.981 -6.773 2.417 6.240 4.472 3.581" Properties=species:S:1:pos:R:3 comment="Cs3LaPr2S6 | Alexandria via LeMat-Bulk | PBE-GGA | relaxed" magnetic_moment_mub_per_fu=0.0 e_form_raw_ev_per_atom=-1.832 total_energy_ev_per_cell=-63.8 vol_a3_per_atom=32.52 pbc="T T T"
Cs 3.805 -2.821 4.323
Cs -1.378 4.041 4.784
Cs 1.213 0.610 4.553
La 0.000 0.000 0.000
Pr -0.611 -3.341 2.648
Pr -3.202 0.090 2.879
S 0.832 2.856 7.281
S -1.604 -1.527 4.689
S 1.595 -1.636 1.826
S 3.439 -0.595 7.049
S 4.031 2.747 4.418
S -1.012 1.815 2.058


14
Lattice="-3.468 -2.900 0.461 2.556 -1.701 8.525 -9.008 11.400 3.953" Properties=species:S:1:pos:R:3 comment="NpSnI5 | Alexandria via LeMat-Bulk | PBE-GGA | relaxed" magnetic_moment_mub_per_fu=4.0 e_form_raw_ev_per_atom=-0.679 total_energy_ev_per_cell=-58.9 vol_a3_per_atom=44.20 pbc="T T T"
Np -2.981 2.579 4.994
Np -6.938 4.220 7.945
Sn -3.536 -0.843 1.699
Sn -6.384 7.642 11.240
I -3.531 2.755 1.972
I -10.599 8.172 5.272
I -6.177 2.837 4.976
I -1.175 0.207 3.659
I -6.281 6.714 6.186
I -3.639 0.084 6.753
I -8.745 6.592 9.281
I -3.743 3.962 7.963
I 0.679 -1.373 7.667
I -6.389 4.043 10.967